[1]
Material: Ho7Sc2In2
Method: DFT, GGA-PBE
State: optimized geometry

Structure (POSCAR):
```
Ho7Sc2In2
1.0
-1.778 2.293 2.032
-8.574 -5.396 1.673
-0.476 -5.375 8.735
Ho Sc In
7 2 2
Direct
0.825 0.027 0.323 Ho
0.847 0.470 0.835 Ho
0.500 0.035 0.965 Ho
0.608 0.483 0.301 Ho
0.392 0.699 0.517 Ho
0.175 0.677 0.973 Ho
0.153 0.165 0.530 Ho
0.729 0.859 0.684 Sc
0.271 0.316 0.141 Sc
0.000 0.785 0.215 In
0.500 0.338 0.662 In
```

Summary:
DFT formation energy   -0.03 eV per atom

---

[2]
Material: LiPaSe2
Method: DFT, GGA-PBE
State: optimized geometry

Structure (POSCAR):
```
LiPaSe2
1.0
-1.614 -2.210 2.217
1.839 -2.688 -1.342
5.074 1.087 4.776
Pa Se Li
1 2 1
Direct
0.500 0.500 0.000 Pa
0.000 0.000 0.761 Se
0.000 0.000 0.239 Se
0.500 0.500 0.500 Li
```

Summary:
Formation energy (no corrections)   -1149 meV per atom
Relative energy among the computed polymorphs   123 meV/atom

---

[3]
Material: Mg2ZnCdPt
Method: DFT, GGA-PBE
State: optimized geometry

Structure (POSCAR):
```
Mg2ZnCdPt
1.0
4.834 0.000 0.000
0.000 4.803 0.000
0.000 0.000 4.834
Zn Mg Pt Cd
1 2 1 1
Direct
0.000 0.000 0.000 Zn
0.000 0.000 0.500 Mg
0.500 0.000 0.000 Mg
0.500 0.500 0.500 Pt
0.000 0.500 0.000 Cd
```

Summary:
DFT formation energy   0.41 eV per atom

---

[4]
Material: CuTe3I3
Method: DFT, GGA-PBE
State: optimized geometry

Structure (POSCAR):
```
CuTe3I3
1.0
9.610 1.714 5.362
3.913 8.942 5.362
2.175 1.714 10.787
Cu Te I
2 6 6
Direct
0.258 0.258 0.258 Cu
0.742 0.742 0.742 Cu
0.668 0.985 0.984 Te
0.985 0.984 0.668 Te
0.984 0.668 0.985 Te
0.016 0.332 0.015 Te
0.015 0.016 0.332 Te
0.332 0.015 0.016 Te
0.637 0.539 0.055 I
0.055 0.637 0.539 I
0.539 0.055 0.637 I
0.461 0.945 0.363 I
0.945 0.363 0.461 I
0.363 0.461 0.945 I
```

Summary:
Formation energy (no corrections)   17 meV per atom

---

[5]
Material: Tb2YHoSc
Method: DFT, GGA-PBE
State: optimized geometry

Structure (POSCAR):
```
Tb2YHoSc
1.0
-5.637 3.141 -2.894
-0.540 -6.007 -5.469
-3.105 0.146 6.206
Tb Y Ho Sc
4 2 2 2
Direct
0.500 0.302 0.000 Tb
0.000 0.698 0.000 Tb
0.500 0.698 0.000 Tb
0.000 0.302 0.000 Tb
0.750 0.739 0.478 Y
0.250 0.261 0.522 Y
0.250 0.724 0.448 Ho
0.750 0.276 0.552 Ho
0.250 0.989 0.978 Sc
0.750 0.011 0.022 Sc
```

Summary:
DFT formation energy   0.36 eV per atom

---

[6]
Material: PrNdAl2Pd5
Method: DFT, GGA-PBE
State: optimized geometry

Structure (POSCAR):
```
PrNdAl2Pd5
1.0
-1.865 -1.818 3.478
3.851 -1.590 1.234
1.607 7.675 4.874
Pr Nd Al Pd
1 1 2 5
Direct
0.000 0.000 0.500 Pr
0.000 0.000 0.000 Nd
0.500 0.500 0.146 Al
0.500 0.500 0.854 Al
0.000 0.500 0.274 Pd
0.500 0.000 0.274 Pd
0.000 0.500 0.726 Pd
0.500 0.000 0.726 Pd
0.500 0.500 0.500 Pd
```

Summary:
DFT formation energy   -0.79 eV per atom

---

[7]
Material: Li2Ca8Mg
Method: DFT, GGA-PBE
State: optimized geometry

Structure (POSCAR):
```
Li2Ca8Mg
1.0
-3.376 -4.479 0.305
6.331 -4.874 -1.496
0.660 3.643 9.074
Li Ca Mg
2 8 1
Direct
0.813 0.322 0.626 Li
0.187 0.678 0.374 Li
0.404 0.544 0.808 Ca
0.672 0.949 0.344 Ca
0.818 0.729 0.635 Ca
0.969 0.228 0.938 Ca
0.182 0.271 0.365 Ca
0.328 0.051 0.656 Ca
0.596 0.456 0.192 Ca
0.031 0.772 0.062 Ca
0.500 0.000 0.000 Mg
```

Summary:
DFT formation energy   0.03 eV per atom
Relative energy among the computed polymorphs   0 meV/atom

---

[8]
Material: Sr3HoIr8
Method: DFT, GGA-PBE
State: optimized geometry

Structure (POSCAR):
```
Sr3HoIr8
1.0
-0.055 3.326 4.324
3.182 -1.065 4.301
7.550 5.569 -0.747
Sr Ho Ir
3 1 8
Direct
0.374 0.374 0.877 Sr
0.001 0.001 0.996 Sr
0.499 0.499 0.504 Sr
0.875 0.875 0.375 Ho
0.931 0.437 0.194 Ir
0.444 0.938 0.680 Ir
0.437 0.437 0.194 Ir
0.938 0.938 0.680 Ir
0.188 0.188 0.437 Ir
0.688 0.688 0.937 Ir
0.437 0.931 0.194 Ir
0.938 0.444 0.680 Ir
```

Summary:
DFT formation energy   -0.39 eV per atom

---

[9]
Material: In2HRh
Method: DFT, GGA-PBE
State: optimized geometry

Structure (POSCAR):
```
In2HRh
1.0
3.820 -0.623 -2.359
2.052 -4.042 0.036
-0.030 -2.590 -3.720
H Rh In
1 1 2
Direct
0.000 0.000 0.000 H
0.500 0.500 0.500 Rh
0.250 0.250 0.250 In
0.750 0.750 0.750 In
```

Summary:
Relative energy among the computed polymorphs   464 meV/atom

---

[10]
Material: BeIrAu
Method: DFT, GGA-PBE
State: optimized geometry

Structure (POSCAR):
```
BeIrAu
1.0
-1.680 1.165 1.993
-2.542 -1.278 -1.396
0.497 -3.999 2.757
Be Ir Au
1 1 1
Direct
0.000 0.500 0.105 Be
0.500 0.000 0.944 Ir
0.000 0.000 0.467 Au
```

Summary:
DFT formation energy   -0.06 eV per atom
Relative energy among the computed polymorphs   69 meV/atom

---

[11]
Material: Cd12HgPb16
Method: DFT, GGA-PBE
State: optimized geometry

Structure (POSCAR):
```
Cd12HgPb16
1.0
-8.717 4.923 1.510
-1.856 -8.447 -5.262
4.060 -2.479 9.008
Cd Hg Pb
12 1 16
Direct
0.814 0.814 0.194 Cd
0.636 0.636 0.825 Cd
0.364 0.176 0.990 Cd
0.819 0.633 0.634 Cd
0.186 0.001 0.370 Cd
0.364 0.995 0.182 Cd
0.188 0.807 0.812 Cd
0.807 0.188 0.812 Cd
0.995 0.364 0.182 Cd
0.001 0.186 0.370 Cd
0.633 0.819 0.634 Cd
0.176 0.364 0.990 Cd
0.615 0.615 0.298 Hg
0.354 0.354 0.323 Pb
0.003 0.003 0.004 Pb
0.992 0.992 0.655 Pb
0.307 0.307 0.719 Pb
0.683 0.411 0.004 Pb
0.585 0.285 0.592 Pb
0.004 0.683 0.404 Pb
0.005 0.660 0.007 Pb
0.709 0.317 0.311 Pb
0.407 0.994 0.684 Pb
0.994 0.407 0.684 Pb
0.317 0.709 0.311 Pb
0.660 0.005 0.007 Pb
0.683 0.004 0.404 Pb
0.285 0.585 0.592 Pb
0.411 0.683 0.004 Pb
```

Summary:
DFT formation energy   0.03 eV per atom

---

[12]
Material: BaTiTl2Cu
Method: DFT, GGA-PBE
State: optimized geometry

Structure (POSCAR):
```
BaTiTl2Cu
1.0
5.238 0.000 0.000
0.000 5.204 0.000
0.000 0.000 5.238
Tl Ba Cu Ti
2 1 1 1
Direct
0.000 0.000 0.500 Tl
0.500 0.000 0.000 Tl
0.500 0.500 0.500 Ba
0.000 0.000 0.000 Cu
0.000 0.500 0.000 Ti
```

Summary:
DFT formation energy   0.28 eV per atom

---

[13]
Material: TaWBr
Method: DFT, GGA-PBE
State: optimized geometry

Structure (POSCAR):
```
TaWBr
1.0
7.372 0.025 -0.017
6.448 2.980 -0.007
0.924 -1.039 2.766
Br W Ta
1 1 1
Direct
0.988 0.988 0.012 Br
0.687 0.687 0.313 W
0.325 0.325 0.675 Ta
```

Summary:
Formation energy (no corrections)   575 meV per atom
Relative energy among the computed polymorphs   0 meV/atom

---

[14]
Material: InReTe2
Method: DFT, GGA-PBE
State: optimized geometry

Structure (POSCAR):
```
InReTe2
1.0
7.167 -0.005 0.008
4.884 5.245 -0.008
-5.631 -3.526 2.686
In Re Te
1 1 2
Direct
0.750 0.250 0.500 In
0.250 0.750 0.500 Re
0.080 0.080 0.000 Te
0.420 0.420 0.000 Te
```

Summary:
Formation energy (no corrections)   308 meV per atom

---

[15]
Material: KAlOs2
Method: DFT, GGA-PBE
State: optimized geometry

Structure (POSCAR):
```
KAlOs2
1.0
2.781 -0.023 0.000
-1.208 2.506 0.000
0.000 0.000 9.784
K Os Al
1 2 1
Direct
0.500 0.500 0.750 K
0.000 0.000 0.044 Os
0.000 0.000 0.456 Os
0.500 0.500 0.250 Al
```

Summary:
DFT formation energy   0.58 eV per atom

---

[16]
Material: BaTmGa2
Method: DFT, GGA-PBE
State: optimized geometry

Structure (POSCAR):
```
BaTmGa2
1.0
-2.275 -0.236 2.994
2.949 -0.888 2.170
1.165 7.469 1.473
Tm Ba Ga
1 1 2
Direct
0.500 0.500 0.000 Tm
0.500 0.500 0.500 Ba
0.000 0.000 0.806 Ga
0.000 0.000 0.194 Ga
```

Summary:
DFT formation energy   -0.44 eV per atom
Relative energy among the computed polymorphs   0 meV/atom

---

[17]
Material: LiNbHg
Method: DFT, GGA-PBE
State: optimized geometry

Structure (POSCAR):
```
LiNbHg
1.0
-6.294 2.004 -3.806
0.198 -2.606 -1.508
-1.698 -1.132 4.776
Nb Hg Li
2 2 2
Direct
0.471 0.428 0.217 Nb
0.529 0.572 0.783 Nb
0.186 0.963 0.424 Hg
0.814 0.037 0.576 Hg
0.873 0.301 0.146 Li
0.127 0.699 0.854 Li
```

Summary:
DFT formation energy   0.03 eV per atom
Relative energy among the computed polymorphs   47 meV/atom

---

[18]
Material: Nb2HAu
Method: DFT, GGA-PBE
State: optimized geometry

Structure (POSCAR):
```
Nb2HAu
1.0
-2.879 1.000 1.283
-0.927 -1.046 2.996
1.632 4.956 4.060
Nb H Au
2 1 1
Direct
0.051 0.051 0.846 Nb
0.281 0.281 0.156 Nb
0.667 0.667 0.999 H
0.500 0.500 0.499 Au
```

Summary:
Relative energy among the computed polymorphs   0 meV/atom

---

[19]
Material: HfCd2
Method: DFT, GGA-PBE
State: optimized geometry

Structure (POSCAR):
```
HfCd2
1.0
-0.531 -3.041 -0.683
2.766 -0.141 -1.525
1.785 -0.134 6.528
Hf Cd
1 2
Direct
0.000 0.000 0.000 Hf
0.667 0.667 0.334 Cd
0.333 0.333 0.666 Cd
```

Summary:
DFT formation energy   -0.01 eV per atom

---

[20]
Material: Tl2OsBr
Method: DFT, GGA-PBE
State: optimized geometry

Structure (POSCAR):
```
Tl2OsBr
1.0
0.000 3.755 3.755
3.755 0.000 3.755
3.755 3.755 0.000
Tl Os Br
2 1 1
Direct
0.250 0.250 0.250 Tl
0.750 0.750 0.750 Tl
0.500 0.500 0.500 Os
0.000 0.000 0.000 Br
```

Summary:
Formation energy (no corrections)   995 meV per atom
Relative energy among the computed polymorphs   412 meV/atom

---

[21]
Material: CrNi3N3
Method: DFT, GGA-PBE
State: optimized geometry

Structure (POSCAR):
```
CrNi3N3
1.0
0.300 6.211 -0.678
-2.044 -3.566 -4.716
-3.850 0.340 1.412
Cr Ni N
2 6 6
Direct
0.667 0.333 0.750 Cr
0.333 0.667 0.250 Cr
0.884 0.599 0.250 Ni
0.715 0.116 0.250 Ni
0.401 0.285 0.250 Ni
0.116 0.401 0.750 Ni
0.285 0.884 0.750 Ni
0.599 0.715 0.750 Ni
0.952 0.618 0.750 N
0.666 0.048 0.750 N
0.382 0.334 0.750 N
0.048 0.382 0.250 N
0.334 0.952 0.250 N
0.618 0.666 0.250 N
```

Summary:
Formation energy (no corrections)   212 meV per atom

---

[22]
Material: CaDySnAu
Method: DFT, GGA-PBE
State: optimized geometry

Structure (POSCAR):
```
CaDySnAu
1.0
5.249 0.000 0.000
2.625 4.546 0.000
2.625 1.515 4.286
Ca Au Sn Dy
1 1 1 1
Direct
0.500 0.500 0.500 Ca
0.750 0.750 0.750 Au
0.250 0.250 0.250 Sn
0.000 0.000 0.000 Dy
```

Summary:
DFT formation energy   -0.75 eV per atom

---

[23]
Material: CeCd2Hg7
Method: DFT, GGA-PBE
State: optimized geometry

Structure (POSCAR):
```
CeCd2Hg7
1.0
-2.101 0.880 -2.286
-1.678 -9.825 -2.238
-5.599 4.869 7.021
Ce Cd Hg
1 2 7
Direct
0.000 0.000 0.000 Ce
0.500 0.669 0.331 Cd
0.500 0.331 0.669 Cd
0.000 0.811 0.189 Hg
0.000 0.189 0.811 Hg
0.500 0.140 0.330 Hg
0.500 0.860 0.670 Hg
0.500 0.330 0.140 Hg
0.500 0.670 0.860 Hg
0.500 0.500 0.500 Hg
```

Summary:
DFT formation energy   -0.02 eV per atom

---

[24]
Material: Re2RuAu
Method: DFT, GGA-PBE
State: optimized geometry

Structure (POSCAR):
```
Re2RuAu
1.0
-0.312 0.387 -2.730
2.562 -0.977 -0.431
-2.945 -7.408 -0.713
Au Re Ru
1 2 1
Direct
0.500 0.500 0.749 Au
0.000 0.000 0.014 Re
0.500 0.500 0.257 Re
0.000 0.000 0.480 Ru
```

Summary:
DFT formation energy   0.25 eV per atom
Relative energy among the computed polymorphs   34 meV/atom

---

[25]
Material: MgInSb2
Method: DFT, GGA-PBE
State: optimized geometry

Structure (POSCAR):
```
MgInSb2
1.0
-2.263 2.176 0.932
-0.573 -2.250 2.309
6.710 4.420 5.971
In Mg Sb
1 1 2
Direct
0.500 0.500 0.250 In
0.500 0.500 0.750 Mg
0.000 0.000 0.968 Sb
0.000 0.000 0.532 Sb
```

Summary:
Formation energy (no corrections)   -50 meV per atom
Relative energy among the computed polymorphs   36 meV/atom

---

| no. | magnetic moment (μB per formula unit) |
| --- | --- |
| 1 | 0.00 |
| 2 | 1.00 |
| 3 | 0.00 |
| 4 | 0.00 |
| 5 | 0.00 |
| 6 | 0.00 |
| 7 | 0.00 |
| 8 | 0.00 |
| 9 | 0.36 |
| 10 | 0.00 |
| 11 | 0.00 |
| 12 | 2.14 |
| 13 | 0.00 |
| 14 | 0.00 |
| 15 | 0.00 |
| 16 | 0.00 |
| 17 | 0.00 |
| 18 | 0.00 |
| 19 | 0.00 |
| 20 | 2.90 |
| 21 | 0.19 |
| 22 | 0.00 |
| 23 | 1.36 |
| 24 | 0.00 |
| 25 | 0.00 |